# SrBe2ReCl

A relaxed structure of SrBe2ReCl (PBE-GGA, the Alexandria database).

Cell and atoms, written as POSCAR:
```
SrBe2ReCl
1.0
-4.301 0.789 3.944
-3.321 -2.795 -3.063
1.620 -4.945 2.756
Be Sr Re Cl
2 1 1 1
Direct
0.500 0.000 0.000 Be
0.000 0.000 0.500 Be
0.000 0.000 0.000 Sr
0.500 0.500 0.500 Re
0.000 0.500 0.000 Cl
```

## Properties
D(E_F), states/eV per cell: 3.55

***

# Ta2BeReCl

A relaxed structure of Ta2BeReCl (PBE-GGA, the Alexandria database).

Cell and atoms, written as POSCAR:
```
Ta2BeReCl
1.0
4.462 0.000 0.000
0.000 4.342 0.000
0.000 0.000 4.462
Ta Cl Be Re
2 1 1 1
Direct
0.500 0.000 0.000 Ta
0.000 0.000 0.500 Ta
0.000 0.000 0.000 Cl
0.500 0.500 0.500 Be
0.000 0.500 0.000 Re
```

## Properties
D(E_F), states/eV per cell: 1.95

***

# TaBeReCl2

A relaxed structure of TaBeReCl2 (PBE-GGA, the Alexandria database).

Cell and atoms, written as POSCAR:
```
TaBeReCl2
1.0
-1.943 -0.391 -3.360
-1.658 -9.037 2.010
-3.312 1.008 1.798
Cl Ta Re Be
2 1 1 1
Direct
0.500 0.000 0.000 Cl
0.000 0.000 0.500 Cl
0.000 0.500 0.000 Ta
0.500 0.500 0.500 Re
0.000 0.000 0.000 Be
```

## Properties
D(E_F), states/eV per cell: 2.15

***

# TiBeReCl2

A relaxed structure of TiBeReCl2 (PBE-GGA, the Alexandria database).

Cell and atoms, written as POSCAR:
```
TiBeReCl2
1.0
4.662 0.000 0.000
0.000 5.058 0.000
0.000 0.000 4.662
Cl Ti Be Re
2 1 1 1
Direct
0.000 0.000 0.500 Cl
0.500 0.000 0.000 Cl
0.000 0.500 0.000 Ti
0.500 0.500 0.500 Be
0.000 0.000 0.000 Re
```

## Properties
D(E_F), states/eV per cell: 4.47

***

# BeReW2Cl

A relaxed structure of BeReW2Cl (PBE-GGA, the Alexandria database).

Cell and atoms, written as POSCAR:
```
BeReW2Cl
1.0
4.359 0.000 0.000
0.000 4.174 0.000
0.000 0.000 4.359
W Cl Be Re
2 1 1 1
Direct
0.000 0.000 0.500 W
0.500 0.000 0.000 W
0.500 0.500 0.500 Cl
0.000 0.000 0.000 Be
0.000 0.500 0.000 Re
```

## Properties
D(E_F), states/eV per cell: 7.45

***

# BeRh2Cl

A relaxed structure of BeRh2Cl (PBE-GGA, the Alexandria database).

Cell and atoms, written as POSCAR:
```
BeRh2Cl
1.0
-1.261 -3.295 -0.894
1.479 0.116 -2.515
9.794 -3.727 5.588
Rh Cl Be
4 2 2
Direct
0.731 0.250 0.948 Rh
0.269 0.750 0.052 Rh
0.185 0.750 0.823 Rh
0.815 0.250 0.177 Rh
0.786 0.750 0.632 Cl
0.214 0.250 0.368 Cl
0.662 0.250 0.747 Be
0.338 0.750 0.253 Be
```

## Properties
D(E_F), states/eV per cell: 6.89

***

# Be3RhCl

A relaxed structure of Be3RhCl (PBE-GGA, the Alexandria database).

Cell and atoms, written as POSCAR:
```
Be3RhCl
1.0
-1.967 3.347 -0.894
-2.353 -2.045 -2.481
-2.543 -0.697 2.986
Cl Be Rh
1 3 1
Direct
0.000 0.000 0.000 Cl
0.000 0.000 0.500 Be
0.500 0.000 0.000 Be
0.000 0.500 0.000 Be
0.500 0.500 0.500 Rh
```

## Properties
D(E_F), states/eV per cell: 1.90

***

# Be2RhCl

A relaxed structure of Be2RhCl (PBE-GGA, the Alexandria database).

Cell and atoms, written as POSCAR:
```
Be2RhCl
1.0
-2.403 -1.148 1.148
1.641 -1.308 2.127
-0.649 4.838 3.475
Rh Cl Be
1 1 2
Direct
0.500 0.750 0.750 Rh
0.500 0.250 0.250 Cl
0.000 0.250 0.557 Be
0.000 0.250 0.943 Be
```

## Properties
D(E_F), states/eV per cell: 0.20

***

# Be2RhCl

A relaxed structure of Be2RhCl (PBE-GGA, the Alexandria database).

Cell and atoms, written as POSCAR:
```
Be2RhCl
1.0
-2.432 -3.016 1.452
-4.093 0.185 -0.577
-1.840 -2.617 -2.624
Rh Cl Be
1 1 2
Direct
0.500 0.500 0.500 Rh
0.000 0.000 0.000 Cl
0.250 0.250 0.250 Be
0.750 0.750 0.750 Be
```

## Properties
D(E_F), states/eV per cell: 0.20

***

# BeRh2Cl

A relaxed structure of BeRh2Cl (PBE-GGA, the Alexandria database).

Cell and atoms, written as POSCAR:
```
BeRh2Cl
1.0
7.253 0.024 -0.010
6.539 3.139 -0.010
1.133 0.260 2.623
Be Cl Rh
1 1 2
Direct
0.456 0.456 0.586 Be
0.179 0.179 0.143 Cl
0.025 0.025 0.951 Rh
0.841 0.841 0.820 Rh
```

## Properties
D(E_F), states/eV per cell: 3.56

***

# BeRhCl

A relaxed structure of BeRhCl (PBE-GGA, the Alexandria database).

Cell and atoms, written as POSCAR:
```
BeRhCl
1.0
2.946 -1.701 0.000
0.000 3.402 0.000
0.000 0.000 9.231
Rh Be Cl
2 2 2
Direct
0.000 0.000 0.000 Rh
0.000 0.000 0.500 Rh
0.667 0.333 0.750 Be
0.333 0.667 0.250 Be
0.000 0.000 0.250 Cl
0.000 0.000 0.750 Cl
```

## Properties
D(E_F), states/eV per cell: 2.58

***

# BeRh2Cl

A relaxed structure of BeRh2Cl (PBE-GGA, the Alexandria database).

Cell and atoms, written as POSCAR:
```
BeRh2Cl
1.0
-1.721 -3.875 -0.914
-1.262 -2.626 3.214
-4.223 -0.714 0.686
Rh Cl Be
2 1 1
Direct
0.250 0.250 0.250 Rh
0.000 0.000 0.000 Rh
0.750 0.750 0.750 Cl
0.500 0.500 0.500 Be
```

## Properties
D(E_F), states/eV per cell: 3.54

***

# Be2RhCl

A relaxed structure of Be2RhCl (PBE-GGA, the Alexandria database).

Cell and atoms, written as POSCAR:
```
Be2RhCl
1.0
3.541 -0.030 0.037
1.798 3.050 0.037
-0.068 -0.038 5.289
Be Rh Cl
2 1 1
Direct
0.375 0.375 0.120 Be
0.042 0.042 0.011 Be
0.708 0.708 0.867 Rh
0.375 0.375 0.503 Cl
```

***

# Be2RhCl

A relaxed structure of Be2RhCl (PBE-GGA, the Alexandria database).

Cell and atoms, written as POSCAR:
```
Be2RhCl
1.0
-2.915 0.517 0.636
-0.762 -0.854 -2.804
-0.662 -6.334 2.109
Rh Be Cl
1 2 1
Direct
0.500 0.500 0.904 Rh
0.500 0.500 0.217 Be
0.000 0.000 0.999 Be
0.000 0.000 0.380 Cl
```

## Properties
D(E_F), states/eV per cell: 1.24

***

# BeRhCl

A relaxed structure of BeRhCl (PBE-GGA, the Alexandria database).

Cell and atoms, written as POSCAR:
```
BeRhCl
1.0
10.517 -0.015 0.025
-0.590 2.918 0.000
0.434 0.088 3.013
Cl Rh Be
2 2 2
Direct
0.718 0.669 0.735 Cl
0.044 0.379 0.072 Cl
0.539 0.043 0.825 Rh
0.282 0.834 0.953 Rh
0.414 0.439 0.387 Be
0.176 0.284 0.506 Be
```

## Properties
D(E_F), states/eV per cell: 3.86

***

# Be2RhCl

A relaxed structure of Be2RhCl (PBE-GGA, the Alexandria database).

Cell and atoms, written as POSCAR:
```
Be2RhCl
1.0
-1.285 -4.423 -1.128
1.453 -3.284 3.098
-2.609 3.934 -0.457
Be Rh Cl
2 1 1
Direct
0.977 0.977 0.000 Be
0.751 0.251 0.500 Be
0.220 0.720 0.500 Rh
0.553 0.553 0.000 Cl
```

## Properties
D(E_F), states/eV per cell: 0.26

***

# Be2RhCl

A relaxed structure of Be2RhCl (PBE-GGA, the Alexandria database).

Cell and atoms, written as POSCAR:
```
Be2RhCl
1.0
4.577 0.000 0.000
1.776 4.218 0.000
-3.176 -2.109 2.532
Cl Be Rh
1 2 1
Direct
0.250 0.750 0.500 Cl
0.000 0.000 0.000 Be
0.500 0.500 0.000 Be
0.750 0.250 0.500 Rh
```

## Properties
D(E_F), states/eV per cell: 1.34

***

# Be2RhCl

A relaxed structure of Be2RhCl (PBE-GGA, the Alexandria database).

Cell and atoms, written as POSCAR:
```
Be2RhCl
1.0
5.921 0.019 0.000
4.237 4.136 0.000
-5.079 -2.077 2.224
Be Rh Cl
2 1 1
Direct
0.250 0.750 0.500 Be
0.000 0.000 0.000 Be
0.750 0.250 0.500 Rh
0.500 0.500 0.000 Cl
```

## Properties
D(E_F), states/eV per cell: 0.61

***

# BeRhCl

A relaxed structure of BeRhCl (PBE-GGA, the Alexandria database).

Cell and atoms, written as POSCAR:
```
BeRhCl
1.0
6.746 0.038 0.034
-3.149 4.872 -0.034
0.759 0.511 3.109
Be Cl Rh
2 2 2
Direct
0.137 0.682 0.554 Be
0.294 0.032 0.976 Be
0.769 0.502 0.738 Cl
0.075 0.166 0.085 Cl
0.550 0.089 0.348 Rh
0.347 0.664 0.949 Rh
```

## Properties
D(E_F), states/eV per cell: 0.00

***

# BeRh2Cl

A relaxed structure of BeRh2Cl (PBE-GGA, the Alexandria database).

Cell and atoms, written as POSCAR:
```
BeRh2Cl
1.0
0.022 -2.622 3.299
-0.854 1.462 3.859
-3.620 -1.035 1.892
Rh Be Cl
2 1 1
Direct
0.750 0.750 0.750 Rh
0.250 0.250 0.250 Rh
0.000 0.000 0.000 Be
0.500 0.500 0.500 Cl
```

## Properties
D(E_F), states/eV per cell: 4.54

***

# BeRh2Cl

A relaxed structure of BeRh2Cl (PBE-GGA, the Alexandria database).

Cell and atoms, written as POSCAR:
```
BeRh2Cl
1.0
2.823 0.000 0.000
0.000 4.888 0.000
0.000 0.000 4.017
Rh Cl Be
2 1 1
Direct
0.000 0.000 0.000 Rh
0.500 0.500 0.000 Rh
0.000 0.500 0.500 Cl
0.500 0.000 0.500 Be
```

## Properties
D(E_F), states/eV per cell: 2.00

***

# BeRh2Cl

A relaxed structure of BeRh2Cl (PBE-GGA, the Alexandria database).

Cell and atoms, written as POSCAR:
```
BeRh2Cl
1.0
-0.366 -3.852 -5.404
3.479 -4.428 -3.530
-2.177 2.521 5.751
Cl Be Rh
1 1 2
Direct
0.316 0.816 0.500 Cl
0.545 0.545 0.000 Be
0.977 0.977 0.000 Rh
0.663 0.163 0.500 Rh
```

## Properties
D(E_F), states/eV per cell: 3.78

***

# Be2RhCl

A relaxed structure of Be2RhCl (PBE-GGA, the Alexandria database).

Cell and atoms, written as POSCAR:
```
Be2RhCl
1.0
8.632 0.027 0.016
8.149 2.846 0.016
8.149 1.395 2.480
Rh Cl Be
1 1 2
Direct
0.723 0.723 0.723 Rh
0.534 0.534 0.534 Cl
0.993 0.993 0.993 Be
0.250 0.250 0.250 Be
```

## Properties
D(E_F), states/eV per cell: 3.80

***

# Be2RhCl

A relaxed structure of Be2RhCl (PBE-GGA, the Alexandria database).

Cell and atoms, written as POSCAR:
```
Be2RhCl
1.0
-2.029 0.107 3.619
0.169 -3.254 2.571
2.117 0.275 3.559
Be Rh Cl
2 1 1
Direct
0.750 0.750 0.750 Be
0.000 0.000 0.000 Be
0.250 0.250 0.250 Rh
0.500 0.500 0.500 Cl
```

## Properties
D(E_F), states/eV per cell: 0.42

***

# BeRh2Cl

A relaxed structure of BeRh2Cl (PBE-GGA, the Alexandria database).

Cell and atoms, written as POSCAR:
```
BeRh2Cl
1.0
-8.090 -11.680 -4.132
1.681 -2.208 2.951
-2.633 1.548 2.658
Rh Be Cl
8 4 4
Direct
0.185 0.850 0.338 Rh
0.938 0.850 0.221 Rh
0.062 0.850 0.779 Rh
0.185 0.350 0.838 Rh
0.815 0.350 0.162 Rh
0.062 0.350 0.279 Rh
0.815 0.850 0.662 Rh
0.938 0.350 0.721 Rh
0.287 0.350 0.386 Be
0.713 0.850 0.114 Be
0.287 0.850 0.886 Be
0.713 0.350 0.614 Be
0.383 0.600 0.681 Cl
0.383 0.100 0.181 Cl
0.617 0.600 0.319 Cl
0.617 0.100 0.819 Cl
```

## Properties
D(E_F), states/eV per cell: 13.39

***

# BeRhCl

A relaxed structure of BeRhCl (PBE-GGA, the Alexandria database).

Cell and atoms, written as POSCAR:
```
BeRhCl
1.0
-1.220 -3.245 -1.010
4.356 0.763 -7.675
2.713 0.092 2.891
Be Cl Rh
2 2 2
Direct
0.308 0.718 0.439 Be
0.858 0.540 0.541 Be
0.673 0.281 0.174 Cl
0.187 0.891 0.200 Cl
0.135 0.457 0.096 Rh
0.596 0.669 0.016 Rh
```

## Properties
D(E_F), states/eV per cell: 0.00

***

# BeRh2Cl

A relaxed structure of BeRh2Cl (PBE-GGA, the Alexandria database).

Cell and atoms, written as POSCAR:
```
BeRh2Cl
1.0
2.895 0.000 0.001
0.000 3.680 0.000
-0.018 0.000 11.795
Cl Rh Be
2 4 2
Direct
0.752 0.428 0.367 Cl
0.248 0.928 0.633 Cl
0.751 0.100 0.176 Rh
0.750 0.109 0.947 Rh
0.249 0.600 0.824 Rh
0.250 0.609 0.053 Rh
0.251 0.603 0.253 Be
0.749 0.103 0.747 Be
```

## Properties
D(E_F), states/eV per cell: 8.22

***

# Be2RhCl

A relaxed structure of Be2RhCl (PBE-GGA, the Alexandria database).

Cell and atoms, written as POSCAR:
```
Be2RhCl
1.0
-2.482 -0.140 -3.904
-3.832 -2.549 0.486
2.168 3.740 1.653
Rh Be Cl
1 2 1
Direct
0.250 0.750 0.500 Rh
0.507 0.507 0.000 Be
0.993 0.993 0.000 Be
0.750 0.250 0.500 Cl
```

## Properties
D(E_F), states/eV per cell: 0.85

***

# BeRhCl

A relaxed structure of BeRhCl (PBE-GGA, the Alexandria database).

Cell and atoms, written as POSCAR:
```
BeRhCl
1.0
5.074 0.004 0.000
3.224 3.918 0.000
-4.149 -1.961 2.165
Rh Cl Be
1 1 1
Direct
0.617 0.617 0.000 Rh
0.351 0.351 0.000 Cl
0.032 0.032 0.000 Be
```

## Properties
D(E_F), states/eV per cell: 0.99

***

no.,total DFT energy (no corrections) (eV/atom),magnetization (Bohr magnetons per cell)
1,-2.6492,4.3
2,-7.0480,0.0
3,-5.3619,0.3
4,-4.5417,1.1
5,-7.1079,0.0
6,-5.3580,0.0
7,-3.1566,0.0
8,-4.5282,0.0
9,-3.5748,0.0
10,-5.0857,0.0
11,-3.5789,0.0
12,-4.4303,2.0
13,-4.4712,0.0
14,-4.3529,0.0
15,-4.7184,0.0
16,-3.9409,0.0
17,-3.7601,0.0
18,-3.9030,0.0
19,-4.6005,0.0
20,-4.6232,0.0
21,-4.7770,0.0
22,-5.0563,0.0
23,-4.0872,0.4
24,-3.6640,0.0
25,-5.3226,0.0
26,-4.7494,0.0
27,-5.3582,0.0
28,-3.8360,0.0
29,-4.2667,0.0